Record 1
! PBE Ca2DyCd6, relaxed; values from VASP
&SYSTEM
  ibrav = 0, nat = 9, ntyp = 3
/
ATOMIC_SPECIES
Cd 112.41 Cd.upf
Ca 40.08 Ca.upf
Dy 162.50 Dy.upf
ATOMIC_POSITIONS crystal
Cd 0.5000 0.6674 0.0000
Cd 0.5000 0.6674 0.6674
Cd 0.5000 0.3326 0.0000
Cd 0.5000 0.0000 0.3326
Cd 0.5000 0.3326 0.3326
Cd 0.5000 0.0000 0.6674
Ca 0.0000 0.6667 0.3333
Ca 0.0000 0.3333 0.6667
Dy 0.0000 0.0000 0.0000
CELL_PARAMETERS angstrom
3.5217 0.0000 0.0000
0.0000 7.5140 -4.3382
0.0000 0.0000 8.6764
! - uncorrected energy (eV/atom) = -1.890



Record 2
! PBE CaDyCd14, relaxed; values from VASP
&SYSTEM
  ibrav = 0, nat = 16, ntyp = 3
/
ATOMIC_SPECIES
Cd 112.41 Cd.upf
Dy 162.50 Dy.upf
Ca 40.08 Ca.upf
ATOMIC_POSITIONS crystal
Cd 0.3750 0.3750 0.0000
Cd 0.6261 0.6261 0.7600
Cd 0.1239 0.1239 0.2400
Cd 0.8750 0.3750 0.5000
Cd 0.1239 0.1239 0.7600
Cd 0.6261 0.6261 0.2400
Cd 0.6261 0.1239 0.2400
Cd 0.1239 0.6261 0.2400
Cd 0.8750 0.3750 0.0000
Cd 0.8750 0.8750 0.0000
Cd 0.1239 0.6261 0.7600
Cd 0.3750 0.8750 0.5000
Cd 0.3750 0.8750 0.0000
Cd 0.6261 0.1239 0.7600
Dy 0.8750 0.8750 0.5000
Ca 0.3750 0.3750 0.5000
CELL_PARAMETERS angstrom
-2.8869 1.6953 -5.6948
5.3595 -1.9910 -3.3091
-3.3292 -7.8718 -0.6557
! - uncorrected energy (eV/atom) = -1.349



Record 3
! PBE CaDyCd6, relaxed; values from VASP
&SYSTEM
  ibrav = 0, nat = 8, ntyp = 3
/
ATOMIC_SPECIES
Cd 112.41 Cd.upf
Dy 162.50 Dy.upf
Ca 40.08 Ca.upf
ATOMIC_POSITIONS crystal
Cd 0.5000 0.4344 0.1172
Cd 0.0000 0.5809 0.4191
Cd 0.5000 0.9238 0.0762
Cd 0.5000 0.8828 0.5656
Cd 0.0000 0.6195 0.9404
Cd 0.0000 0.0596 0.3805
Dy 0.0000 0.1049 0.8951
Ca 0.5000 0.3938 0.6062
CELL_PARAMETERS angstrom
4.9908 0.0000 0.0000
0.0000 6.5703 0.0308
0.0000 -2.8813 5.9048
! - uncorrected energy (eV/atom) = -1.783



Record 4
! PBE Ca2DyCd, relaxed; values from VASP
&SYSTEM
  ibrav = 0, nat = 4, ntyp = 3
/
ATOMIC_SPECIES
Cd 112.41 Cd.upf
Dy 162.50 Dy.upf
Ca 40.08 Ca.upf
ATOMIC_POSITIONS crystal
Cd 0.6663 0.6663 0.0012
Dy 0.5006 0.5006 0.4983
Ca 0.2579 0.2579 0.2263
Ca 0.0753 0.0753 0.7742
CELL_PARAMETERS angstrom
3.7484 0.0000 0.0000
1.8742 3.2462 0.0000
1.8742 1.0821 10.9993
! - offset from the most stable computed form (kcal/mol of atoms) = 0.803



Record 5
! PBE CaDy2Cd8, relaxed; values from VASP
&SYSTEM
  ibrav = 0, nat = 11, ntyp = 3
/
ATOMIC_SPECIES
Cd 112.41 Cd.upf
Dy 162.50 Dy.upf
Ca 40.08 Ca.upf
ATOMIC_POSITIONS crystal
Cd 0.7484 0.5008 0.0000
Cd 0.1306 0.3661 0.2648
Cd 0.8658 0.1013 0.7352
Cd 0.7016 0.2016 0.4032
Cd 0.2516 0.4992 0.0000
Cd 0.8694 0.6339 0.7352
Cd 0.2984 0.7984 0.5968
Cd 0.1342 0.8987 0.2648
Dy 0.6887 0.6887 0.3774
Dy 0.3113 0.3113 0.6226
Ca 0.5000 0.0000 0.0000
CELL_PARAMETERS angstrom
-4.1372 3.0815 1.5165
-4.0325 -4.4736 -2.0273
4.2107 -2.6998 7.4989
! - uncorrected energy (eV/atom) = -1.943



Record 6
! PBE CaDyCd2, relaxed; values from VASP
&SYSTEM
  ibrav = 0, nat = 4, ntyp = 3
/
ATOMIC_SPECIES
Cd 112.41 Cd.upf
Ca 40.08 Ca.upf
Dy 162.50 Dy.upf
ATOMIC_POSITIONS crystal
Cd 0.0000 0.5000 0.0000
Cd 0.0000 0.0000 0.5000
Ca 0.5000 0.0000 0.0000
Dy 0.5000 0.5000 0.5000
CELL_PARAMETERS angstrom
3.7540 0.0000 0.0000
0.0000 5.3592 0.0000
0.0000 0.0000 5.3592
! - uncorrected energy (eV/atom) = -2.461



Record 7
! PBE CaDy4Cd5, relaxed; values from VASP
&SYSTEM
  ibrav = 0, nat = 10, ntyp = 3
/
ATOMIC_SPECIES
Cd 112.41 Cd.upf
Ca 40.08 Ca.upf
Dy 162.50 Dy.upf
ATOMIC_POSITIONS crystal
Cd 0.5000 0.5000 0.3025
Cd 0.5000 0.5000 0.6975
Cd 0.5000 0.5000 0.1072
Cd 0.5000 0.5000 0.5000
Cd 0.5000 0.5000 0.8928
Ca 0.0000 0.0000 0.0000
Dy 0.0000 0.0000 0.2040
Dy 0.0000 0.0000 0.5988
Dy 0.0000 0.0000 0.4012
Dy 0.0000 0.0000 0.7960
CELL_PARAMETERS angstrom
-3.3954 -1.3440 0.8637
0.5583 -2.8990 -2.3163
7.5342 -9.9025 14.2100
! - uncorrected energy (eV/atom) = -2.829



Record 8
! PBE CaDy3Cd6, relaxed; values from VASP
&SYSTEM
  ibrav = 0, nat = 20, ntyp = 3
/
ATOMIC_SPECIES
Cd 112.41 Cd.upf
Dy 162.50 Dy.upf
Ca 40.08 Ca.upf
ATOMIC_POSITIONS crystal
Cd 0.7500 0.3433 0.2927
Cd 0.7500 0.8601 0.8010
Cd 0.2500 0.1399 0.1990
Cd 0.7500 0.1596 0.6953
Cd 0.2500 0.0539 0.9039
Cd 0.7500 0.9461 0.0961
Cd 0.2500 0.4437 0.0960
Cd 0.2500 0.8404 0.3047
Cd 0.7500 0.5563 0.9040
Cd 0.2500 0.6567 0.7073
Cd 0.2500 0.2488 0.5025
Cd 0.7500 0.7512 0.4975
Dy 0.2500 0.5321 0.3928
Dy 0.2500 0.3549 0.7979
Dy 0.2500 0.7598 0.0025
Dy 0.7500 0.6451 0.2021
Dy 0.7500 0.4679 0.6072
Dy 0.7500 0.2402 0.9975
Ca 0.7500 0.0539 0.3916
Ca 0.2500 0.9461 0.6084
CELL_PARAMETERS angstrom
-4.7608 -0.0155 2.1008
-2.6624 -6.3358 -6.0802
3.8901 -5.6183 8.7741
! - uncorrected energy (eV/atom) = -2.417



Record 9
! PBE Ca2DyCd8, relaxed; values from VASP
&SYSTEM
  ibrav = 0, nat = 11, ntyp = 3
/
ATOMIC_SPECIES
Cd 112.41 Cd.upf
Dy 162.50 Dy.upf
Ca 40.08 Ca.upf
ATOMIC_POSITIONS crystal
Cd 0.0993 0.3546 0.2546
Cd 0.9007 0.6454 0.7454
Cd 0.7476 0.5165 0.0000
Cd 0.2524 0.4835 0.0000
Cd 0.1552 0.9000 0.2546
Cd 0.2977 0.7977 0.5954
Cd 0.7023 0.2023 0.4046
Cd 0.8448 0.1000 0.7454
Dy 0.5000 0.0000 0.0000
Ca 0.3125 0.3125 0.6249
Ca 0.6875 0.6875 0.3751
CELL_PARAMETERS angstrom
-2.0122 4.3812 -2.5825
-5.2155 -0.8207 3.5266
6.6834 2.9547 5.1693
! - uncorrected energy (eV/atom) = -1.676



Record 10
! PBE Ca2DyCd, relaxed; values from VASP
&SYSTEM
  ibrav = 0, nat = 4, ntyp = 3
/
ATOMIC_SPECIES
Cd 112.41 Cd.upf
Ca 40.08 Ca.upf
Dy 162.50 Dy.upf
ATOMIC_POSITIONS crystal
Cd 0.5000 0.5000 0.0000
Ca 0.0000 0.0000 0.7691
Ca 0.0000 0.0000 0.2309
Dy 0.5000 0.5000 0.5000
CELL_PARAMETERS angstrom
4.1217 0.0000 0.0000
0.0000 4.1217 0.0000
0.0000 0.0000 7.5153
! - offset from the most stable computed form (kcal/mol of atoms) = 0.000



Record 11
! PBE CaDyCd, relaxed; values from VASP
&SYSTEM
  ibrav = 0, nat = 6, ntyp = 3
/
ATOMIC_SPECIES
Dy 162.50 Dy.upf
Ca 40.08 Ca.upf
Cd 112.41 Cd.upf
ATOMIC_POSITIONS crystal
Dy 0.3330 0.6661 0.7500
Dy 0.6670 0.3339 0.2500
Ca 0.0000 0.0000 0.0000
Ca 0.0000 0.0000 0.5000
Cd 0.6662 0.3325 0.7500
Cd 0.3338 0.6675 0.2500
CELL_PARAMETERS angstrom
5.4434 0.0000 0.0000
-2.7217 4.7187 0.0000
0.0000 0.0000 6.8759
! - offset from the most stable computed form (kcal/mol of atoms) = 0.362



Record 12
! PBE Ca12Dy3Cd5, relaxed; values from VASP
&SYSTEM
  ibrav = 0, nat = 80, ntyp = 3
/
ATOMIC_SPECIES
Cd 112.41 Cd.upf
Ca 40.08 Ca.upf
Dy 162.50 Dy.upf
ATOMIC_POSITIONS crystal
Cd 0.7500 0.1250 0.8750
Cd 0.5000 0.0000 0.5000
Cd 0.2500 0.8750 0.1250
Cd 0.5000 0.5000 0.5000
Cd 0.5000 0.5000 0.0000
Cd 0.8750 0.2500 0.6250
Cd 0.3750 0.2500 0.1250
Cd 0.6250 0.7500 0.8750
Cd 0.0000 0.5000 0.0000
Cd 0.7500 0.6250 0.3750
Cd 0.3750 0.1250 0.7500
Cd 0.0000 0.0000 0.5000
Cd 0.1250 0.7500 0.3750
Cd 0.1250 0.3750 0.2500
Cd 0.0000 0.5000 0.5000
Cd 0.6250 0.8750 0.2500
Cd 0.0000 0.0000 0.0000
Cd 0.8750 0.6250 0.7500
Cd 0.2500 0.3750 0.6250
Cd 0.5000 0.0000 0.0000
Ca 0.4231 0.3799 0.5932
Ca 0.5432 0.2133 0.1201
Ca 0.2867 0.8799 0.9568
Ca 0.4068 0.2867 0.3299
Ca 0.1201 0.4068 0.0769
Ca 0.3299 0.7867 0.4068
Ca 0.2867 0.4068 0.8299
Ca 0.3799 0.4231 0.0932
Ca 0.9568 0.5769 0.1701
Ca 0.5769 0.9568 0.6701
Ca 0.7867 0.3299 0.9068
Ca 0.7133 0.5932 0.1701
Ca 0.0432 0.6201 0.7133
Ca 0.4568 0.7867 0.8799
Ca 0.5932 0.7133 0.6701
Ca 0.0769 0.1701 0.4568
Ca 0.0932 0.9231 0.3799
Ca 0.9068 0.0769 0.6201
Ca 0.8799 0.2867 0.4568
Ca 0.2133 0.5432 0.6201
Ca 0.3799 0.9568 0.7867
Ca 0.6201 0.5769 0.9068
Ca 0.4568 0.6701 0.0769
Ca 0.8299 0.9231 0.0432
Ca 0.6701 0.2133 0.5932
Ca 0.5932 0.8799 0.4231
Ca 0.3299 0.5432 0.4231
Ca 0.9231 0.0932 0.8799
Ca 0.9568 0.3799 0.2867
Ca 0.9231 0.8299 0.5432
Ca 0.1201 0.7133 0.5432
Ca 0.8799 0.5932 0.9231
Ca 0.4068 0.1201 0.5769
Ca 0.0432 0.4231 0.8299
Ca 0.8299 0.9068 0.2867
Ca 0.4231 0.0432 0.3299
Ca 0.6701 0.4568 0.5769
Ca 0.2133 0.6701 0.0932
Ca 0.9068 0.8299 0.7867
Ca 0.7867 0.4568 0.3799
Ca 0.0932 0.1701 0.2133
Ca 0.1701 0.0932 0.7133
Ca 0.7133 0.1201 0.0432
Ca 0.6201 0.0432 0.2133
Ca 0.0769 0.9068 0.1201
Ca 0.5769 0.6201 0.4068
Ca 0.1701 0.0769 0.9568
Ca 0.5432 0.3299 0.9231
Dy 0.7500 0.3750 0.1250
Dy 0.2500 0.1250 0.3750
Dy 0.1250 0.2500 0.8750
Dy 0.2500 0.6250 0.8750
Dy 0.1250 0.8750 0.7500
Dy 0.6250 0.2500 0.3750
Dy 0.3750 0.7500 0.6250
Dy 0.7500 0.8750 0.6250
Dy 0.6250 0.3750 0.7500
Dy 0.8750 0.7500 0.1250
Dy 0.3750 0.6250 0.2500
Dy 0.8750 0.1250 0.2500
CELL_PARAMETERS angstrom
-6.2090 7.7226 13.2790
-5.4480 -15.6436 -0.3406
16.5488 0.0687 0.8068
! - uncorrected energy (eV/atom) = -1.741